# CuTc2Rh PBE optimized geometry
# - Polymorph energy (0 for the lowest one): 0 meV per atom
# - ΔH_f (0 K): 0.232 eV per formula unit
# - Calculated volume: 169.00 Å³/cell
data_CuTc2Rh
_chemical_formula_sum 'Cu3 Tc6 Rh3'
_symmetry_space_group_name_H-M 'R 3 m'
_symmetry_Int_Tables_number 160
_symmetry_space_group_name_Hall 'R 3 -2"'
_cell_length_a 2.7314
_cell_length_b 2.7314
_cell_length_c 26.1572
_cell_angle_alpha 90.00
_cell_angle_beta 90.00
_cell_angle_gamma 120.00
loop_
_atom_site_label
_atom_site_type_symbol
_atom_site_fract_x
_atom_site_fract_y
_atom_site_fract_z
Cu1 Cu 0.0000 0.0000 0.0000
Tc1 Tc 0.0000 0.0000 0.4996
Tc2 Tc 0.0000 0.0000 0.7514
Rh1 Rh 0.0000 0.0000 0.2505


# Cu2TcRh PBE optimized geometry
# - Polymorph energy (0 for the lowest one): 673 meV per atom
# - ΔH_f (0 K): 2.868 eV per formula unit
# - Calculated volume: 231.96 Å³/cell
data_Cu2TcRh
_chemical_formula_sum 'Cu8 Tc4 Rh4'
_symmetry_space_group_name_H-M 'I -4 2 d'
_symmetry_Int_Tables_number 122
_symmetry_space_group_name_Hall 'I -4 2bw'
_cell_length_a 6.8127
_cell_length_b 6.8127
_cell_length_c 4.9979
_cell_angle_alpha 90.00
_cell_angle_beta 90.00
_cell_angle_gamma 90.00
loop_
_atom_site_label
_atom_site_type_symbol
_atom_site_fract_x
_atom_site_fract_y
_atom_site_fract_z
Cu1 Cu 0.2490 0.2500 0.1250
Tc1 Tc 0.0000 0.0000 0.0000
Rh1 Rh 0.0000 0.0000 0.5000


# Cu2TcRh PBE optimized geometry
# - Polymorph energy (0 for the lowest one): 157 meV per atom
# - ΔH_f (0 K): 0.806 eV per formula unit
# - Calculated volume: 53.28 Å³/cell
data_Cu2TcRh
_chemical_formula_sum 'Cu2 Tc1 Rh1'
_symmetry_space_group_name_H-M 'P 4/m m m'
_symmetry_Int_Tables_number 123
_symmetry_space_group_name_Hall '-P 4 2'
_cell_length_a 2.5989
_cell_length_b 2.5989
_cell_length_c 7.8881
_cell_angle_alpha 90.00
_cell_angle_beta 90.00
_cell_angle_gamma 90.00
loop_
_atom_site_label
_atom_site_type_symbol
_atom_site_fract_x
_atom_site_fract_y
_atom_site_fract_z
Cu1 Cu 0.0000 0.0000 0.2473
Tc1 Tc 0.5000 0.5000 0.5000
Rh1 Rh 0.5000 0.5000 0.0000


# CuTc2Rh PBE optimized geometry
# - Polymorph energy (0 for the lowest one): 169 meV per atom
# - ΔH_f (0 K): 0.909 eV per formula unit
# - Calculated volume: 225.26 Å³/cell
data_CuTc2Rh
_chemical_formula_sum 'Cu4 Tc8 Rh4'
_symmetry_space_group_name_H-M 'F -4 3 m'
_symmetry_Int_Tables_number 216
_symmetry_space_group_name_Hall 'F -4 2 3'
_cell_length_a 6.0845
_cell_length_b 6.0845
_cell_length_c 6.0845
_cell_angle_alpha 90.00
_cell_angle_beta 90.00
_cell_angle_gamma 90.00
loop_
_atom_site_label
_atom_site_type_symbol
_atom_site_fract_x
_atom_site_fract_y
_atom_site_fract_z
Cu1 Cu 0.0000 0.0000 0.0000
Tc1 Tc 0.0000 0.0000 0.5000
Tc2 Tc 0.2500 0.2500 0.7500
Rh1 Rh 0.2500 0.2500 0.2500